# 1
VASP calculation (PBE) on VI3N after structural relaxation.

Values from the calculation:
* energy above the most stable polymorph in this dataset: 1.420 eV/f.u.
* uncorrected formation energy: 5.9 eV per formula unit

Cell lengths 5.0359, 5.0359, 5.0359 Å; angles 90.00, 90.00, 90.00 degrees
Each line ends with the local moment (μB).
Fractional positions:
I 0.0000 0.5000 0.0000  -0.05
I 0.0000 0.0000 0.5000  -0.05
N 0.0000 0.0000 0.0000  -0.06
V 0.5000 0.5000 0.5000  3.06
I 0.5000 0.0000 0.0000  -0.05

=====

# 2
VASP calculation (PBE) on VI3N after structural relaxation.

Values from the calculation:
* energy above the most stable polymorph in this dataset: 0.000 eV/f.u.
* uncorrected formation energy: 4.5 eV per formula unit

Cell lengths 5.5515, 5.5515, 5.5515 Å; angles 90.00, 90.00, 90.00 degrees
Each line ends with the local moment (μB).
Fractional positions:
N 0.5000 0.5000 0.5000  1.90
I 0.0000 0.0000 0.5000  -0.06
I 0.5000 0.0000 0.0000  -0.06
V 0.0000 0.0000 0.0000  2.09
I 0.0000 0.5000 0.0000  -0.06